DFT (GGA-PBE) results for an optimized crystal structure of HgIrSe2.

Geometry as CIF:
```
data_HgIrSe2
_space_group_name_H-M_alt 'R -3 m'
_space_group_IT_number 166
_space_group_name_Hall '-R 3 2"'
_cell_length_a 3.7883
_cell_length_b 3.7883
_cell_length_c 25.1164
_cell_angle_alpha 90.00
_cell_angle_beta 90.00
_cell_angle_gamma 120.00
loop_
_atom_site_label
_atom_site_fract_x
_atom_site_fract_y
_atom_site_fract_z
Hg1 0.0000 0.0000 0.0000
Ir1 0.0000 0.0000 0.5000
Se1 0.0000 0.0000 0.1176
```

Summary:
Its crystal system is trigonal. As for the raw formation energy: -170 meV/atom.



DFT (GGA-PBE) results for an optimized crystal structure of CaMnBi2W.

Geometry as CIF:
```
data_CaMnBi2W
_space_group_name_H-M_alt 'P 4/m m m'
_space_group_IT_number 123
_space_group_name_Hall '-P 4 2'
_cell_length_a 5.334
_cell_length_b 5.334
_cell_length_c 5.679
_cell_angle_alpha 90.00
_cell_angle_beta 90.00
_cell_angle_gamma 90.00
loop_
_atom_site_label
_atom_site_fract_x
_atom_site_fract_y
_atom_site_fract_z
Ca1 0.000 0.000 0.000
Mn1 0.500 0.500 0.000
Bi1 0.000 0.500 0.500
W1 0.000 0.000 0.500
```

Summary:
Its crystal system is tetragonal. The formation energy is 7.55 eV per formula unit.



DFT (GGA-PBE) results for an optimized crystal structure of Pm3Mg3Ga2.

Geometry as CIF:
```
data_Pm3Mg3Ga2
_space_group_name_H-M_alt 'P n m a'
_space_group_IT_number 62
_cell_length_a 8.458
_cell_length_b 16.155
_cell_length_c 6.063
_cell_angle_alpha 90.00
_cell_angle_beta 90.00
_cell_angle_gamma 90.00
loop_
_space_group_symop_operation_xyz
'x,y,z'
'-x,-y,-z'
'-x+1/2,-y,z+1/2'
'x+1/2,y,-z+1/2'
'x+1/2,-y+1/2,-z+1/2'
'-x+1/2,y+1/2,z+1/2'
'-x,y+1/2,-z'
'x,-y+1/2,z'
loop_
_atom_site_label
_atom_site_fract_x
_atom_site_fract_y
_atom_site_fract_z
Pm1 0.039 0.110 0.102
Pm2 0.165 0.250 0.653
Mg1 0.176 0.035 0.598
Mg2 0.178 0.750 0.652
Ga1 0.111 0.615 0.375
```

Summary:
Its crystal system is orthorhombic. The formation energy is -2.26 eV per formula unit.